{"formula": "TlPb2", "functional": "meta-GGA SCAN", "state": "single point on PBEsol structure", "vol_a3_per_cell": 188, "cell": [[0.000, 4.545, 4.545], [4.545, 0.000, 4.545], [4.545, 4.545, 0.000]], "species": ["Tl", "Tl", "Pb", "Pb", "Pb", "Pb"], "fractional_positions": [[0.125, 0.125, 0.125], [0.875, 0.875, 0.875], [0.000, 0.500, 0.500], [0.500, 0.000, 0.500], [0.500, 0.500, 0.000], [0.500, 0.500, 0.500]]}


{"formula": "Tl2Pb", "functional": "meta-GGA SCAN", "state": "single point on PBEsol structure", "vol_a3_per_cell": 729, "cell": [[0.000, 7.143, 7.143], [7.143, 0.000, 7.143], [7.143, 7.143, 0.000]], "species": ["Tl", "Tl", "Tl", "Tl", "Tl", "Tl", "Tl", "Tl", "Tl", "Tl", "Tl", "Tl", "Tl", "Tl", "Tl", "Tl", "Pb", "Pb", "Pb", "Pb", "Pb", "Pb", "Pb", "Pb"], "fractional_positions": [[0.000, 0.000, 0.000], [0.000, 0.000, 0.500], [0.000, 0.500, 0.000], [0.187, 0.187, 0.563], [0.187, 0.563, 0.187], [0.187, 0.563, 0.563], [0.437, 0.437, 0.813], [0.437, 0.813, 0.437], [0.437, 0.813, 0.813], [0.500, 0.000, 0.000], [0.563, 0.187, 0.187], [0.563, 0.187, 0.563], [0.563, 0.563, 0.187], [0.813, 0.437, 0.437], [0.813, 0.437, 0.813], [0.813, 0.813, 0.437], [0.146, 0.785, 0.785], [0.215, 0.215, 0.215], [0.215, 0.215, 0.854], [0.215, 0.854, 0.215], [0.785, 0.146, 0.785], [0.785, 0.785, 0.146], [0.785, 0.785, 0.785], [0.854, 0.215, 0.215]]}


{"formula": "TlPb2", "functional": "meta-GGA SCAN", "state": "single point on PBEsol structure", "vol_a3_per_cell": 88, "cell": [[-1.695, 1.695, 7.639], [1.695, -1.695, 7.639], [1.695, 1.695, -7.639]], "species": ["Tl", "Pb", "Pb"], "fractional_positions": [[0.000, 0.000, 0.000], [0.332, 0.332, 0.000], [0.668, 0.668, 0.000]]}


{"formula": "TlPb3", "functional": "meta-GGA SCAN", "state": "single point on PBEsol structure", "vol_a3_per_cell": 117, "cell": [[3.444, 0.000, 0.000], [0.000, 5.613, 0.000], [0.000, 0.000, 6.027]], "species": ["Tl", "Pb", "Pb", "Pb"], "fractional_positions": [[0.000, 0.000, 0.000], [0.000, 0.500, 0.672], [0.500, 0.000, 0.496], [0.500, 0.500, 0.172]]}


{"formula": "TlPb3", "functional": "meta-GGA SCAN", "state": "single point on PBEsol structure", "vol_a3_per_cell": 117, "cell": [[-2.487, 2.487, 4.714], [2.487, -2.487, 4.714], [2.487, 2.487, -4.714]], "species": ["Tl", "Pb", "Pb", "Pb"], "fractional_positions": [[0.000, 0.000, 0.000], [0.250, 0.750, 0.500], [0.500, 0.500, 0.000], [0.750, 0.250, 0.500]]}


{"formula": "Tl5Pb", "functional": "meta-GGA SCAN", "state": "single point on PBEsol structure", "vol_a3_per_cell": 170, "cell": [[5.552, 0.000, 0.000], [0.000, 1.711, 8.974], [0.000, -1.711, 8.974]], "species": ["Tl", "Tl", "Tl", "Tl", "Tl", "Pb"], "fractional_positions": [[0.000, 0.000, 0.000], [0.000, 0.332, 0.332], [0.000, 0.666, 0.666], [0.500, 0.222, 0.222], [0.500, 0.889, 0.889], [0.500, 0.556, 0.556]]}


{"formula": "Tl5Pb", "functional": "meta-GGA SCAN", "state": "single point on PBEsol structure", "vol_a3_per_cell": 171, "cell": [[6.031, 0.000, 0.000], [-3.015, 5.223, 0.000], [0.000, 0.000, 5.415]], "species": ["Tl", "Tl", "Tl", "Tl", "Tl", "Pb"], "fractional_positions": [[0.000, 0.666, 0.000], [0.333, 0.667, 0.500], [0.334, 0.334, 0.000], [0.666, 0.000, 0.000], [0.667, 0.333, 0.500], [0.000, 0.000, 0.500]]}


{"formula": "TlPb5", "functional": "meta-GGA SCAN", "state": "single point on PBEsol structure", "vol_a3_per_cell": 177, "cell": [[3.411, 0.000, 0.000], [0.000, 3.411, 0.000], [0.000, 0.000, 15.181]], "species": ["Tl", "Pb", "Pb", "Pb", "Pb", "Pb"], "fractional_positions": [[0.000, 0.000, 0.000], [0.000, 0.000, 0.332], [0.000, 0.000, 0.668], [0.500, 0.500, 0.165], [0.500, 0.500, 0.500], [0.500, 0.500, 0.835]]}


For each record above, in turn, the calculated energy of formation values are 0.045; 0.068; -0.011; 0.020; -0.004; 0.003; 0.005; -0.003 eV/atom.
For each record above, in turn, the calculated density of states at the Fermi level values are 3.1; 13.7; 1.6; 2.2; 1.7; 2.6; 2.7; 2.8 states/eV/cell.